1.
DFT (GGA-PBE) results for a relaxed Tb4DyEr2Sc crystal.

Values from the calculation:
Density (Mg/m³): 8.02
Symmetry: No. 123
Formation enthalpy at 0 K (kJ/mol of atoms): 2.9

a = 4.968 Å, b = 4.968 Å, c = 9.883 Å
α = 90.00°, β = 90.00°, γ = 90.00°
Element x y z (fractional)
Tb: 0.000 0.500 0.245
Tb: 0.000 0.500 0.755
Tb: 0.500 0.000 0.245
Tb: 0.500 0.000 0.755
Dy: 0.000 0.000 0.500
Er: 0.000 0.000 0.000
Er: 0.500 0.500 0.500
Sc: 0.500 0.500 0.000


2.
DFT (GGA-PBE) results for a relaxed TbDy2Er4Sc crystal.

Values from the calculation:
Density (Mg/m³): 8.26
Symmetry: No. 123
Formation enthalpy at 0 K (kJ/mol of atoms): 3.1

a = 4.936 Å, b = 4.936 Å, c = 9.881 Å
α = 90.00°, β = 90.00°, γ = 90.00°
Element x y z (fractional)
Tb: 0.000 0.000 0.000
Dy: 0.000 0.000 0.500
Dy: 0.500 0.500 0.000
Er: 0.000 0.500 0.255
Er: 0.000 0.500 0.745
Er: 0.500 0.000 0.255
Er: 0.500 0.000 0.745
Sc: 0.500 0.500 0.500


3.
DFT (GGA-PBE) results for a relaxed Tb2DyErSc5 crystal.

Values from the calculation:
Density (Mg/m³): 5.68
Symmetry: No. 36
Formation enthalpy at 0 K (kJ/mol of atoms): 15.7

a = 9.611 Å, b = 9.611 Å, c = 10.363 Å
α = 90.00°, β = 90.00°, γ = 147.84°
Element x y z (fractional)
Tb: 0.107 0.893 0.500
Tb: 0.114 0.886 0.090
Tb: 0.886 0.114 0.590
Tb: 0.893 0.107 0.000
Dy: 0.208 0.792 0.775
Dy: 0.792 0.208 0.275
Er: 0.417 0.583 0.228
Er: 0.583 0.417 0.728
Sc: 0.021 0.979 0.800
Sc: 0.288 0.712 0.063
Sc: 0.299 0.701 0.476
Sc: 0.399 0.601 0.790
Sc: 0.478 0.522 0.502
Sc: 0.522 0.478 0.002
Sc: 0.601 0.399 0.290
Sc: 0.701 0.299 0.976
Sc: 0.712 0.288 0.563
Sc: 0.979 0.021 0.300


4.
DFT (GGA-PBE) results for a relaxed Tb3Dy6Er2Sc crystal.

Values from the calculation:
Density (Mg/m³): 8.24
Symmetry: No. 12
Formation enthalpy at 0 K (kJ/mol of atoms): 2.6

a = 6.094 Å, b = 6.094 Å, c = 11.647 Å
α = 94.99°, β = 94.99°, γ = 119.95°
Element x y z (fractional)
Tb: 0.000 0.000 0.000
Tb: 0.333 0.667 0.000
Tb: 0.667 0.333 0.000
Dy: 0.087 0.418 0.254
Dy: 0.251 0.251 0.746
Dy: 0.418 0.087 0.254
Dy: 0.582 0.913 0.746
Dy: 0.749 0.749 0.254
Dy: 0.913 0.582 0.746
Er: 0.167 0.833 0.500
Er: 0.833 0.167 0.500
Sc: 0.500 0.500 0.500


5.
DFT (GGA-PBE) results for a relaxed TbDy6Er2Sc3 crystal.

Values from the calculation:
Density (Mg/m³): 7.53
Symmetry: No. 12
Formation enthalpy at 0 K (kJ/mol of atoms): 4.1

a = 6.024 Å, b = 6.024 Å, c = 11.428 Å
α = 95.03°, β = 95.03°, γ = 119.96°
Element x y z (fractional)
Tb: 0.000 0.000 0.000
Dy: 0.086 0.420 0.259
Dy: 0.247 0.247 0.741
Dy: 0.420 0.086 0.259
Dy: 0.580 0.914 0.741
Dy: 0.753 0.753 0.259
Dy: 0.914 0.580 0.741
Er: 0.333 0.667 0.000
Er: 0.667 0.333 0.000
Sc: 0.167 0.833 0.500
Sc: 0.500 0.500 0.500
Sc: 0.833 0.167 0.500


6.
DFT (GGA-PBE) results for a relaxed TbDyEr3Sc crystal.

Values from the calculation:
Density (Mg/m³): 7.76
Symmetry: No. 12
Formation enthalpy at 0 K (kJ/mol of atoms): 18.6

a = 10.913 Å, b = 10.913 Å, c = 6.527 Å
α = 97.01°, β = 97.01°, γ = 28.80°
Element x y z (fractional)
Tb: 0.163 0.163 0.039
Tb: 0.837 0.837 0.961
Dy: 0.430 0.430 0.795
Dy: 0.570 0.570 0.205
Er: 0.024 0.024 0.762
Er: 0.273 0.273 0.690
Er: 0.341 0.341 0.237
Er: 0.659 0.659 0.763
Er: 0.727 0.727 0.310
Er: 0.976 0.976 0.238
Sc: 0.133 0.133 0.472
Sc: 0.867 0.867 0.528


7.
DFT (GGA-PBE) results for a relaxed Tb6Dy3Er2Sc crystal.

Values from the calculation:
Density (Mg/m³): 8.16
Symmetry: No. 12
Formation enthalpy at 0 K (kJ/mol of atoms): 2.5

a = 6.104 Å, b = 6.104 Å, c = 11.651 Å
α = 94.99°, β = 94.99°, γ = 119.96°
Element x y z (fractional)
Tb: 0.082 0.413 0.247
Tb: 0.249 0.249 0.753
Tb: 0.413 0.082 0.247
Tb: 0.587 0.918 0.753
Tb: 0.751 0.751 0.247
Tb: 0.918 0.587 0.753
Dy: 0.167 0.833 0.500
Dy: 0.500 0.500 0.500
Dy: 0.833 0.167 0.500
Er: 0.333 0.667 0.000
Er: 0.667 0.333 0.000
Sc: 0.000 0.000 0.000


8.
DFT (GGA-PBE) results for a relaxed TbDy2Er6Sc crystal.

Values from the calculation:
Density (Mg/m³): 8.32
Symmetry: No. 15
Formation enthalpy at 0 K (kJ/mol of atoms): 12.2

a = 8.614 Å, b = 8.614 Å, c = 9.372 Å
α = 93.93°, β = 93.93°, γ = 117.40°
Element x y z (fractional)
Tb: 0.022 0.978 0.750
Tb: 0.978 0.022 0.250
Dy: 0.200 0.304 0.547
Dy: 0.304 0.200 0.047
Dy: 0.696 0.800 0.953
Dy: 0.800 0.696 0.453
Er: 0.009 0.566 0.689
Er: 0.127 0.751 0.057
Er: 0.249 0.873 0.443
Er: 0.292 0.506 0.884
Er: 0.434 0.991 0.811
Er: 0.494 0.708 0.616
Er: 0.506 0.292 0.384
Er: 0.566 0.009 0.189
Er: 0.708 0.494 0.116
Er: 0.751 0.127 0.557
Er: 0.873 0.249 0.943
Er: 0.991 0.434 0.311
Sc: 0.412 0.588 0.250
Sc: 0.588 0.412 0.750


9.
DFT (GGA-PBE) results for a relaxed Tb3DyEr6Sc2 crystal.

Values from the calculation:
Density (Mg/m³): 8.03
Symmetry: No. 12
Formation enthalpy at 0 K (kJ/mol of atoms): 3.5

a = 6.036 Å, b = 6.036 Å, c = 11.530 Å
α = 95.00°, β = 95.00°, γ = 119.95°
Element x y z (fractional)
Tb: 0.000 0.000 0.000
Tb: 0.333 0.667 0.000
Tb: 0.667 0.333 0.000
Dy: 0.500 0.500 0.500
Er: 0.083 0.418 0.256
Er: 0.246 0.246 0.744
Er: 0.418 0.083 0.256
Er: 0.582 0.917 0.744
Er: 0.754 0.754 0.256
Er: 0.917 0.582 0.744
Sc: 0.167 0.833 0.500
Sc: 0.833 0.167 0.500


10.
DFT (GGA-PBE) results for a relaxed Tb2DyErSc2 crystal.

Values from the calculation:
Density (Mg/m³): 6.78
Symmetry: No. 58
Formation enthalpy at 0 K (kJ/mol of atoms): 26.8

a = 6.268 Å, b = 17.350 Å, c = 3.322 Å
α = 90.00°, β = 90.00°, γ = 90.00°
Element x y z (fractional)
Tb: 0.226 0.190 0.000
Tb: 0.274 0.690 0.500
Tb: 0.726 0.310 0.500
Tb: 0.774 0.810 0.000
Dy: 0.000 0.500 0.000
Dy: 0.500 0.000 0.500
Er: 0.000 0.000 0.000
Er: 0.500 0.500 0.500
Sc: 0.224 0.355 0.500
Sc: 0.276 0.855 0.000
Sc: 0.724 0.145 0.000
Sc: 0.776 0.645 0.500


11.
DFT (GGA-PBE) results for a relaxed TbDy2Er2Sc2 crystal.

Values from the calculation:
Density (Mg/m³): 7.26
Symmetry: No. 12
Formation enthalpy at 0 K (kJ/mol of atoms): 10.5

a = 5.866 Å, b = 5.866 Å, c = 11.474 Å
α = 107.92°, β = 107.92°, γ = 33.77°
Element x y z (fractional)
Tb: 0.000 0.000 0.000
Dy: 0.329 0.329 0.413
Dy: 0.671 0.671 0.587
Er: 0.452 0.452 0.731
Er: 0.548 0.548 0.269
Sc: 0.227 0.227 0.865
Sc: 0.773 0.773 0.135


12.
DFT (GGA-PBE) results for a relaxed Tb6Dy2ErSc3 crystal.

Values from the calculation:
Density (Mg/m³): 7.36
Symmetry: No. 12
Formation enthalpy at 0 K (kJ/mol of atoms): 4.1

a = 6.047 Å, b = 6.047 Å, c = 11.439 Å
α = 95.05°, β = 95.05°, γ = 119.96°
Element x y z (fractional)
Tb: 0.086 0.420 0.759
Tb: 0.247 0.247 0.241
Tb: 0.420 0.086 0.759
Tb: 0.580 0.914 0.241
Tb: 0.753 0.753 0.759
Tb: 0.914 0.580 0.241
Dy: 0.333 0.667 0.500
Dy: 0.667 0.333 0.500
Er: 0.000 0.000 0.500
Sc: 0.167 0.833 0.000
Sc: 0.500 0.500 0.000
Sc: 0.833 0.167 0.000


> Which formula does entry 5 have?

TbDy6Er2Sc3